No. 1
A relaxed Sr2TiRh2 crystal, computed with PBE.

Computed properties:
calculated total energy	-53.5	eV for the cell shown
excess energy over the best structure of this formula in the dataset	0	meV/atom
energy relative to the elements	-75	kJ/mol of formula units
space group	P4/mbm (127)

Cell lengths 6.832, 6.832, 4.997 Å; angles 90.00, 90.00, 90.00 degrees
Fractional coordinates of all 10 atoms:
Sr1 0.176 0.324 0.000
Sr2 0.324 0.824 0.000
Sr3 0.676 0.176 0.000
Sr4 0.824 0.676 0.000
Ti1 0.000 0.000 0.500
Ti2 0.500 0.500 0.500
Rh1 0.136 0.636 0.500
Rh2 0.364 0.136 0.500
Rh3 0.636 0.864 0.500
Rh4 0.864 0.364 0.500

No. 2
A relaxed RbYAsSe2 crystal, computed with PBE.

Computed properties:
raw formation energy	-71	kJ/mol of atoms
calculated total energy	-22.7	eV for the cell shown
excess energy over the best structure of this formula in the dataset	0	meV/atom
space group	P4/mmm (123)

Cell lengths 5.573, 5.573, 5.608 Å; angles 90.00, 90.00, 90.00 degrees
Fractional coordinates of all 5 atoms:
Rb1 0.000 0.000 0.000
Y1 0.500 0.500 0.500
As1 0.500 0.500 0.000
Se1 0.000 0.500 0.500
Se2 0.500 0.000 0.500

No. 3
A relaxed TiB3N3 crystal, computed with PBE.

Computed properties:
raw formation energy	25	kJ/mol of atoms
calculated total energy	-102.2	eV for the cell shown
space group	Pm-3n (223)

Cell lengths 4.663, 4.663, 4.663 Å; angles 90.00, 90.00, 90.00 degrees
Fractional coordinates of all 14 atoms:
Ti1 0.000 0.000 0.000
Ti2 0.500 0.500 0.500
B1 0.000 0.250 0.500
B2 0.000 0.750 0.500
B3 0.250 0.500 0.000
B4 0.500 0.000 0.250
B5 0.500 0.000 0.750
B6 0.750 0.500 0.000
N1 0.000 0.500 0.250
N2 0.000 0.500 0.750
N3 0.250 0.000 0.500
N4 0.500 0.250 0.000
N5 0.500 0.750 0.000
N6 0.750 0.000 0.500

Calculated magnetic moment (μB per cell), listed in the same order as above: 0.004, 1.322, 4.651
Calculated ρ (Mg/m³), listed in the same order as above: 6.11, 3.88, 4.01